Material: LiNiSe
Method: DFT, GGA-PBE
State: relaxed

Formation energy from raw total energies: -613 meV per atom
Theoretical density: 5.36 g/cm³
Magnetization: 0.207 μB/atom

a b c (Å): 3.814 3.814 6.154
angles (deg): 90.00 90.00 90.00
Element x y z (fractional)
Li 0.250 0.250 0.177
Li 0.750 0.750 0.823
Ni 0.250 0.750 0.500
Ni 0.750 0.250 0.500
Se 0.250 0.250 0.748
Se 0.750 0.750 0.252



Material: LiNiSe
Method: DFT, GGA-PBE
State: relaxed

Formation energy from raw total energies: -334 meV per atom
Theoretical density: 4.96 g/cm³
Magnetization: 0.109 μB/atom

a b c (Å): 4.905 4.905 4.905
angles (deg): 139.93 139.93 57.96
Element x y z (fractional)
Li 0.000 0.000 0.000
Ni 0.283 0.283 0.000
Se 0.710 0.710 0.000



Material: LiNi2SnSe
Method: DFT, GGA-PBE
State: relaxed

Formation energy from raw total energies: 639 meV per atom
Theoretical density: 6.34 g/cm³
Magnetization: 0.000 μB/atom

a b c (Å): 4.281 4.281 4.603
angles (deg): 90.00 90.00 90.00
Element x y z (fractional)
Li 0.000 0.000 0.000
Ni 0.000 0.500 0.000
Ni 0.500 0.000 0.000
Sn 0.000 0.000 0.500
Se 0.500 0.500 0.500



Material: LiTiNiSe3
Method: DFT, GGA-PBE
State: relaxed

Formation energy from raw total energies: -922 meV per atom
Theoretical density: 5.14 g/cm³
Magnetization: 0.000 μB/atom

a b c (Å): 7.327 3.592 8.944
angles (deg): 90.00 105.85 90.00
Element x y z (fractional)
Li 0.219 0.250 0.268
Li 0.781 0.750 0.732
Ti 0.310 0.750 0.821
Ti 0.690 0.250 0.179
Ni 0.091 0.250 0.593
Ni 0.909 0.750 0.407
Se 0.078 0.250 0.853
Se 0.263 0.750 0.530
Se 0.422 0.750 0.139
Se 0.578 0.250 0.861
Se 0.737 0.250 0.470
Se 0.922 0.750 0.147